# InMoF2 PBE with a Hubbard U relaxed
data_InMoF2
_chemical_formula_sum 'In3 Mo3 F6'
_cell_length_a 3.2132
_cell_length_b 3.2132
_cell_length_c 27.3916
_cell_angle_alpha 90.00
_cell_angle_beta 90.00
_cell_angle_gamma 120.00
_space_group_name_H-M_alt 'R -3 m'
_space_group_IT_number 166
_space_group_name_Hall '-R 3 2"'
loop_
_atom_site_label
_atom_site_type_symbol
_atom_site_fract_x
_atom_site_fract_y
_atom_site_fract_z
_atom_site_occupancy
In1 In 0.0000 0.0000 0.0000 1
Mo1 Mo 0.0000 0.0000 0.5000 1
F1 F 0.0000 0.0000 0.1205 1
# Relative energy among the computed polymorphs: 146 meV/atom